# Ac2Al4Si3Ag, optimized geometry, DFT PBE-GGA
# - ΔE_f (raw) (eV per atom) = -0.313
# - D(E_F) (states/eV/atom) = 0.273
data_Ac2Al4Si3Ag
_cell_length_a 4.614
_cell_length_b 4.614
_cell_length_c 10.052
_cell_angle_alpha 90.00
_cell_angle_beta 90.00
_cell_angle_gamma 90.00
_space_group_name_H-M_alt 'P -4 m 2'
_space_group_IT_number 115
loop_
_space_group_symop_operation_xyz
'x,y,z'
'y,-x,-z'
'-x,-y,z'
'-y,x,-z'
'-x,y,z'
'-y,-x,-z'
'x,-y,z'
'y,x,-z'
loop_
_atom_site_label
_atom_site_fract_x
_atom_site_fract_y
_atom_site_fract_z
_atom_site_occupancy
Ac1 0.000 0.500 0.248 1
Al1 0.000 0.000 0.500 1
Al2 0.000 0.500 0.874 1
Al3 0.500 0.500 0.500 1
Si1 0.000 0.000 0.000 1
Si2 0.000 0.500 0.619 1
Ag1 0.500 0.500 0.000 1